1.
A relaxed KHoOs2O8 crystal, computed with GGA-PBE.

```
KHoOs2O8
1.0
5.9777 0.0000 0.0000
-2.9889 5.1769 0.0000
0.0000 0.0000 7.6172
K Ho Os O
1 1 2 8
Cartesian
0.0000 0.0000 0.0000
0.0000 0.0000 3.8086
0.0000 3.4513 5.8352
2.9889 1.7256 1.7820
0.0000 1.7415 5.2088
-1.4807 4.3061 5.2088
0.0000 3.4513 7.6030
1.5082 0.8708 2.4084
1.4807 4.3061 5.2088
2.9889 1.7256 0.0142
4.4695 0.8708 2.4084
2.9889 3.4353 2.4084
```

magnetic moment = 4.03 μB per formula unit
SG = P-3m1, No. 164
calculated total energy = -86.4 eV/cell
Fermi-level density of states = 0.177 states/eV/atom



2.
A relaxed K2HoOsO6 crystal, computed with GGA-PBE.

```
K2HoOsO6
1.0
0.0000 4.1480 4.1480
4.1480 0.0000 4.1480
4.1480 4.1480 0.0000
K Ho Os O
2 1 1 6
Cartesian
2.0740 2.0740 2.0740
6.2219 6.2219 6.2219
0.0000 0.0000 0.0000
4.1480 4.1480 4.1480
4.1480 4.1480 2.2429
4.1480 2.2429 4.1480
6.0530 4.1480 4.1480
2.2429 4.1480 4.1480
4.1480 6.0530 4.1480
4.1480 4.1480 6.0530
```

magnetic moment = 0.00 μB per formula unit
SG = Fm-3m, No. 225
calculated total energy = -67.2 eV/cell
Fermi-level density of states = 0.410 states/eV/atom



3.
A relaxed KHoP4O12 crystal, computed with GGA-PBE.

```
KHoP4O12
1.0
3.9827 -6.3038 0.0000
3.9827 6.3038 0.0000
-3.8199 0.0000 9.8304
K Ho P O
2 2 8 24
Cartesian
1.1178 3.9169 7.3728
3.0277 -3.9169 2.4576
3.0277 4.7869 2.4576
1.1178 -4.7869 7.3728
0.0945 0.3385 5.4192
3.5916 2.1227 0.0641
2.0045 -0.3385 0.5040
2.4639 2.1227 4.8511
1.6816 -2.1227 4.9793
2.1410 0.3385 9.3264
0.5539 -2.1227 9.7663
4.0510 -0.3385 4.4112
-1.0869 2.4681 8.7140
-0.3739 0.1549 4.0008
-2.2839 -0.1549 8.9160
-0.8823 0.4688 6.5334
2.1006 3.1840 3.8535
1.0277 -0.4688 1.6182
1.0481 1.6364 5.4902
3.9549 3.1840 1.0617
3.0441 0.8520 0.8788
1.1875 1.6364 9.2554
0.8231 -2.4681 3.7988
1.1341 -0.8520 5.7940
3.0114 0.8520 4.0364
3.3224 2.4681 6.0316
2.9581 -1.6364 0.5750
1.1015 -0.8520 8.9516
0.1906 -3.1840 8.7687
3.0974 -1.6364 4.3402
3.1179 0.4688 8.2122
2.0450 -3.1840 5.9769
5.0278 -0.4688 3.2970
6.4294 0.1549 0.9144
4.5195 -0.1549 5.8296
5.2324 -2.4681 1.1164
```

magnetic moment = 0.00 μB per formula unit
SG = C2/c, No. 15
calculated total energy = -262.0 eV/cell
Fermi-level density of states = 0.000 states/eV/atom



4.
A relaxed K2HoPaO6 crystal, computed with GGA-PBE.

```
K2HoPaO6
1.0
0.0000 4.3842 4.3842
4.3842 0.0000 4.3842
4.3842 4.3842 0.0000
K Ho Pa O
2 1 1 6
Cartesian
2.1921 2.1921 2.1921
6.5763 6.5763 6.5763
0.0000 0.0000 0.0000
4.3842 4.3842 4.3842
4.3842 4.3842 2.2422
4.3842 2.2422 4.3842
6.5262 4.3842 4.3842
2.2422 4.3842 4.3842
4.3842 6.5262 4.3842
4.3842 4.3842 6.5262
```

magnetic moment = 2.02 μB per formula unit
SG = Fm-3m, No. 225
calculated total energy = -71.7 eV/cell
Fermi-level density of states = 0.716 states/eV/atom



5.
A relaxed K2HoPa3O12 crystal, computed with GGA-PBE.

```
K2HoPa3O12
1.0
4.1245 2.3813 6.4755
-4.1245 2.3813 6.4755
0.0000 -4.7625 6.4755
K Ho Pa O
2 1 3 12
Cartesian
0.0000 0.0000 3.4922
0.0000 0.0000 15.9343
0.0000 0.0000 9.7133
-2.0622 -1.1906 6.4755
-2.0622 1.1906 12.9510
0.0000 2.3813 6.4755
-1.6155 -0.9327 8.4554
0.0000 -1.6814 5.9807
-1.4561 0.8407 5.9807
0.0000 -1.8654 10.9711
-1.6155 0.9327 10.9711
-1.4561 -0.8407 13.4458
1.4561 0.8407 5.9807
1.6155 -0.9327 8.4554
0.0000 1.8654 8.4554
1.4561 -0.8407 13.4458
0.0000 1.6814 13.4458
1.6155 0.9327 10.9711
```

magnetic moment = 2.83 μB per formula unit
SG = R-3m, No. 166
calculated total energy = -143.1 eV/cell
Fermi-level density of states = 0.886 states/eV/atom



6.
A relaxed K4HoPa3O12 crystal, computed with GGA-PBE.

```
K4HoPa3O12
1.0
-4.3813 4.3813 4.3813
4.3813 -4.3813 4.3813
4.3813 4.3813 -4.3813
K Ho Pa O
4 1 3 12
Cartesian
2.1906 2.1906 -2.1906
2.1906 -2.1906 2.1906
-2.1906 2.1906 2.1906
2.1906 2.1906 2.1906
0.0000 0.0000 0.0000
4.3813 0.0000 0.0000
0.0000 4.3813 0.0000
0.0000 0.0000 4.3813
2.2757 0.0000 0.0000
6.4868 0.0000 0.0000
4.3813 2.1906 0.0000
4.3813 0.0000 2.1906
0.0000 2.2757 0.0000
0.0000 0.0000 2.2757
2.1906 4.3813 0.0000
2.1906 0.0000 4.3813
0.0000 6.4868 0.0000
0.0000 0.0000 6.4868
0.0000 4.3813 2.1906
0.0000 2.1906 4.3813
```

magnetic moment = 0.00 μB per formula unit
SG = Im-3m, No. 229
calculated total energy = -154.1 eV/cell
Fermi-level density of states = 1.012 states/eV/atom



> Among the records above, which one has the lowest calculated total energy?

KHoP4O12



> Among the records above, which one has the highest calculated total energy?

K2HoOsO6



Repeat the fifth record exactly.
A relaxed K2HoPa3O12 crystal, computed with GGA-PBE.

```
K2HoPa3O12
1.0
4.1245 2.3813 6.4755
-4.1245 2.3813 6.4755
0.0000 -4.7625 6.4755
K Ho Pa O
2 1 3 12
Cartesian
0.0000 0.0000 3.4922
0.0000 0.0000 15.9343
0.0000 0.0000 9.7133
-2.0622 -1.1906 6.4755
-2.0622 1.1906 12.9510
0.0000 2.3813 6.4755
-1.6155 -0.9327 8.4554
0.0000 -1.6814 5.9807
-1.4561 0.8407 5.9807
0.0000 -1.8654 10.9711
-1.6155 0.9327 10.9711
-1.4561 -0.8407 13.4458
1.4561 0.8407 5.9807
1.6155 -0.9327 8.4554
0.0000 1.8654 8.4554
1.4561 -0.8407 13.4458
0.0000 1.6814 13.4458
1.6155 0.9327 10.9711
```

magnetic moment = 2.83 μB per formula unit
SG = R-3m, No. 166
calculated total energy = -143.1 eV/cell
Fermi-level density of states = 0.886 states/eV/atom



> The lowest Fermi-level density of states belongs to which entry?

KHoP4O12